Record 1
Compound: NdHoCu
Source: Alexandria
Functional: PBE
Structure: optimized geometry

a = 4.8066 Å, b = 4.8066 Å, c = 3.8689 Å
α = 90.00°, β = 90.00°, γ = 120.00°
Last column: nearest neighbours and their distance in Å.
Fractional positions:
1 Nd 0.0000 0.0000 0.0000  3 Cu 3.07, 3 Ho 3.32
2 Ho 0.3333 0.6667 0.4696  3 Cu 2.87
3 Cu 0.6667 0.3333 0.6628  3 Ho 2.87, 3 Nd 3.07

Output
The calculation puts the formation energy at 0.0579 eV per atom. As for the polymorph energy (0 for the lowest one): 0.1752 eV per atom.

Record 2
Compound: NdHo3Cu2
Source: Alexandria
Functional: PBE
Structure: optimized geometry

a = 8.3610 Å, b = 8.3610 Å, c = 8.3610 Å
α = 131.63°, β = 72.65°, γ = 129.33°
Last column: nearest neighbours and their distance in Å.
Fractional positions:
1 Nd 0.0000 0.0000 0.0000  2 Cu 2.79
2 Nd 0.5000 0.5000 0.0000  2 Cu 2.79
3 Ho 0.0126 0.2500 0.7626  4 Cu 2.79-2.97
4 Ho 0.2500 0.7500 0.5000  4 Cu 2.99
5 Ho 0.4874 0.2500 0.2374  4 Cu 2.79-2.97
6 Ho 0.5126 0.7500 0.7626  4 Cu 2.79-2.97
7 Ho 0.7500 0.2500 0.5000  4 Cu 2.99
8 Ho 0.9874 0.7500 0.2374  4 Cu 2.79-2.97
9 Cu 0.1433 0.7069 0.8502  1 Nd 2.79, 6 Ho 2.79-2.99
10 Cu 0.3567 0.2069 0.5636  1 Nd 2.79, 6 Ho 2.79-2.99
11 Cu 0.6433 0.7931 0.4364  1 Nd 2.79, 6 Ho 2.79-2.99
12 Cu 0.8567 0.2931 0.1498  1 Nd 2.79, 6 Ho 2.79-2.99

Output
The calculation puts the formation energy at 0.0269 eV per atom. As for the polymorph energy (0 for the lowest one): 0.1892 eV per atom.

Record 3
Compound: NdHo2Cu6
Source: Alexandria
Functional: PBE
Structure: optimized geometry

a = 7.3477 Å, b = 7.3477 Å, c = 3.6120 Å
α = 90.00°, β = 90.00°, γ = 120.00°
Last column: nearest neighbours and their distance in Å.
Fractional positions:
1 Nd 0.0000 0.0000 0.0000  12 Cu 3.06
2 Ho 0.3333 0.6667 0.0000  12 Cu 3.04
3 Ho 0.6667 0.3333 0.0000  12 Cu 3.04
4 Cu 0.0000 0.3359 0.5000  3 Cu 2.41-2.47
5 Cu 0.0000 0.6641 0.5000  3 Cu 2.41-2.47
6 Cu 0.3359 0.0000 0.5000  3 Cu 2.41-2.47
7 Cu 0.3359 0.3359 0.5000  3 Cu 2.41-2.47
8 Cu 0.6641 0.0000 0.5000  3 Cu 2.41-2.47
9 Cu 0.6641 0.6641 0.5000  3 Cu 2.41-2.47

Output
The calculation puts the formation energy at -0.2410 eV per atom.

Record 4
Compound: Nd2HoCu
Source: Alexandria
Functional: PBE
Structure: optimized geometry

a = 3.6234 Å, b = 3.6234 Å, c = 8.6348 Å
α = 90.00°, β = 90.00°, γ = 90.00°
Last column: nearest neighbours and their distance in Å.
Fractional positions:
1 Nd 0.0000 0.0000 0.2033  4 Cu 3.11
2 Nd 0.0000 0.0000 0.7967  4 Cu 3.11
3 Ho 0.5000 0.5000 0.5000  8 Nd 3.62, 4 Ho 3.62
4 Cu 0.5000 0.5000 0.0000  8 Nd 3.11

Output
The calculation puts the formation energy at -0.0382 eV per atom. As for the polymorph energy (0 for the lowest one): 0.0000 eV per atom.

Record 5
Compound: Nd2HoCu
Source: Alexandria
Functional: PBE
Structure: optimized geometry

a = 4.9736 Å, b = 7.7773 Å, c = 6.3564 Å
α = 90.00°, β = 113.01°, γ = 90.00°
Last column: nearest neighbours and their distance in Å.
Fractional positions:
1 Nd 0.1441 0.0300 0.2890  3 Cu 2.84-3.09
2 Nd 0.1441 0.4700 0.2890  3 Cu 2.84-3.09
3 Nd 0.8559 0.5300 0.7110  3 Cu 2.84-3.09
4 Nd 0.8559 0.9700 0.7110  3 Cu 2.84-3.09
5 Ho 0.4568 0.2500 0.9128  1 Cu 2.85
6 Ho 0.5432 0.7500 0.0872  1 Cu 2.85
7 Cu 0.3009 0.7500 0.5996  6 Nd 2.84-3.09, 1 Ho 2.85
8 Cu 0.6991 0.2500 0.4004  6 Nd 2.84-3.09, 1 Ho 2.85

Output
The calculation puts the formation energy at -0.0296 eV per atom. As for the polymorph energy (0 for the lowest one): 0.0086 eV per atom.

Record 6
Compound: NdHoCu4
Source: Alexandria
Functional: PBE
Structure: optimized geometry

a = 5.3060 Å, b = 5.3060 Å, c = 5.3060 Å
α = 60.00°, β = 60.00°, γ = 60.00°
Last column: nearest neighbours and their distance in Å.
Fractional positions:
1 Nd 0.0000 0.0000 0.0000  12 Cu 3.11, 4 Ho 3.25
2 Ho 0.7500 0.7500 0.7500  12 Cu 3.11, 4 Nd 3.25
3 Cu 0.3759 0.3759 0.3759  6 Cu 2.63-2.67
4 Cu 0.3759 0.3759 0.8723  6 Cu 2.63-2.67
5 Cu 0.3759 0.8723 0.3759  6 Cu 2.63-2.67
6 Cu 0.8723 0.3759 0.3759  6 Cu 2.63-2.67

Output
The calculation puts the formation energy at -0.1261 eV per atom. As for the polymorph energy (0 for the lowest one): 0.1133 eV per atom.

Record 7
Compound: NdHo4Cu5
Source: Alexandria
Functional: PBE
Structure: optimized geometry

a = 3.4551 Å, b = 3.4551 Å, c = 17.6143 Å
α = 90.00°, β = 90.00°, γ = 90.00°
Last column: nearest neighbours and their distance in Å.
Fractional positions:
1 Nd 0.0000 0.0000 0.0000  8 Cu 3.13, 4 Nd 3.46
2 Ho 0.0000 0.0000 0.2047  8 Cu 2.95-2.99
3 Ho 0.0000 0.0000 0.4014  8 Cu 3.00
4 Ho 0.0000 0.0000 0.5986  8 Cu 3.00
5 Ho 0.0000 0.0000 0.7953  8 Cu 2.95-2.99
6 Cu 0.5000 0.5000 0.1107  4 Ho 2.95, 4 Nd 3.13
7 Cu 0.5000 0.5000 0.3028  8 Ho 2.99-3.00
8 Cu 0.5000 0.5000 0.5000  8 Ho 3.00
9 Cu 0.5000 0.5000 0.6972  8 Ho 2.99-3.00
10 Cu 0.5000 0.5000 0.8893  4 Ho 2.95, 4 Nd 3.13

Output
The calculation puts the formation energy at -0.2431 eV per atom.

Record 8
Compound: NdHoCu
Source: Alexandria
Functional: PBE
Structure: optimized geometry

a = 3.7286 Å, b = 3.8972 Å, c = 11.0912 Å
α = 90.00°, β = 99.65°, γ = 90.00°
Last column: nearest neighbours and their distance in Å.
Fractional positions:
1 Nd 0.1934 0.2500 0.3867  1 Cu 3.44, 6 Nd 3.66-3.73, 4 Ho 3.69
2 Nd 0.8066 0.7500 0.6133  1 Cu 3.44, 6 Nd 3.66-3.73, 4 Ho 3.69
3 Ho 0.4208 0.2500 0.8440  6 Cu 2.85-3.12
4 Ho 0.5792 0.7500 0.1560  6 Cu 2.85-3.12
5 Cu 0.0373 0.2500 0.0717  2 Cu 2.50
6 Cu 0.9627 0.7500 0.9283  2 Cu 2.50

Output
The calculation puts the formation energy at -0.1174 eV per atom. As for the polymorph energy (0 for the lowest one): 0.0000 eV per atom.